[1]
VASP calculation (GGA-PBE) on a geometry-optimized GdCd2Pb structure.

## Properties
The value obtained for the total magnetization is 7.541 μB/cell. The value obtained for the formation enthalpy at 0 K is -0.195 eV per atom. As for the energy relative to the lowest polymorph listed for this composition: 0.58 eV/f.u.

Unit cell a=3.6280 b=3.6280 c=8.1769 alpha=90.00 beta=90.00 gamma=90.00
With the nearest neighbours (Å) after each atom.
Fractional coordinates of all 4 atoms:
Cd1 0.0000 0.0000 0.7494  4 Gd 3.28, 4 Pb 3.28, 4 Cd 3.63
Cd2 0.0000 0.0000 0.2506  4 Gd 3.28, 4 Pb 3.28, 4 Cd 3.63
Gd1 0.5000 0.5000 0.5000  8 Cd 3.28, 4 Gd 3.63
Pb1 0.5000 0.5000 0.0000  8 Cd 3.28, 4 Pb 3.63

[2]
VASP calculation (GGA-PBE) on a geometry-optimized SmDyGe2Pd2 structure.

## Properties
The value obtained for the total magnetization is 0.000 μB/cell. The value obtained for the formation enthalpy at 0 K is -0.924 eV per atom.

Unit cell a=4.4474 b=4.4474 c=7.1729 alpha=90.00 beta=90.00 gamma=120.00
With the nearest neighbours (Å) after each atom.
Fractional coordinates of all 6 atoms:
Sm1 0.0000 0.0000 0.0000  6 Ge 3.17, 6 Pd 3.25
Pd1 0.3333 0.6667 0.7228  3 Ge 2.57
Pd2 0.6667 0.3333 0.2772  3 Ge 2.57
Ge1 0.6667 0.3333 0.7405  3 Pd 2.57
Ge2 0.3333 0.6667 0.2595  3 Pd 2.57
Dy1 0.0000 0.0000 0.5000  6 Pd 3.02, 6 Ge 3.09

[3]
VASP calculation (GGA-PBE) on a geometry-optimized YThGa2 structure.

## Properties
The value obtained for the total magnetization is 0.001 μB/cell. The value obtained for the formation enthalpy at 0 K is -0.586 eV per atom. As for the energy relative to the lowest polymorph listed for this composition: 0.00 eV/f.u.

Unit cell a=4.4064 b=4.1036 c=5.9631 alpha=90.00 beta=111.60 gamma=90.00
With the nearest neighbours (Å) after each atom.
Fractional coordinates of all 4 atoms:
Y1 0.7217 0.0000 0.9829  7 Ga 3.09-3.22
Ga1 0.1584 0.5000 0.8570  2 Ga 2.64
Ga2 0.0103 0.0000 0.5588  2 Ga 2.64
Th1 0.4406 0.5000 0.4193  7 Ga 3.11-3.28

[4]
VASP calculation (GGA-PBE) on a geometry-optimized Np5V3Te12 structure.

## Properties
The value obtained for the formation energy without anion corrections is 0.009 eV/atom. The value obtained for the total magnetization is 48.044 μB/cell.

Unit cell a=15.3198 b=15.3198 c=15.3198 alpha=109.47 beta=109.47 gamma=109.47
With the nearest neighbours (Å) after each atom.
Fractional coordinates of all 80 atoms:
Te1 0.8778 0.6158 0.9410  1 V 2.91, 2 Np 2.96-3.10
Te2 0.1222 0.3842 0.0590  1 V 2.91, 2 Np 2.96-3.10
Te3 0.9368 0.3778 0.2620  1 V 2.91, 2 Np 2.96-3.10
Te4 0.5632 0.3252 0.9410  1 V 2.91, 2 Np 2.96-3.10
Te5 0.1222 0.7380 0.5632  1 V 2.91, 2 Np 2.96-3.10
Te6 0.8252 0.8842 0.2620  1 V 2.91, 2 Np 2.96-3.10
Te7 0.7620 0.4368 0.3778  1 V 2.91, 2 Np 2.96-3.10
Te8 0.6158 0.8778 0.4410  1 V 2.91, 2 Np 2.96-3.10
Te9 0.1158 0.1748 0.2380  1 V 2.91, 2 Np 2.96-3.10
Te10 0.7380 0.1222 0.0632  1 V 2.91, 2 Np 2.96-3.10
Te11 0.1748 0.1158 0.7380  1 V 2.91, 2 Np 2.96-3.10
Te12 0.6748 0.4368 0.5590  1 V 2.91, 2 Np 2.96-3.10
Te13 0.2620 0.3842 0.8252  1 V 2.91, 2 Np 2.96-3.10
Te14 0.4368 0.6748 0.0590  1 V 2.91, 2 Np 2.96-3.10
Te15 0.1158 0.9410 0.3778  1 V 2.91, 2 Np 2.96-3.10
Te16 0.9410 0.1158 0.8778  1 V 2.91, 2 Np 2.96-3.10
Te17 0.2380 0.6748 0.1158  1 V 2.91, 2 Np 2.96-3.10
Te18 0.3778 0.4410 0.1158  1 V 2.91, 2 Np 2.96-3.10
Te19 0.6222 0.0632 0.2380  1 V 2.91, 2 Np 2.96-3.10
Te20 0.2380 0.5632 0.6222  1 V 2.91, 2 Np 2.96-3.10
Te21 0.3842 0.2620 0.3252  1 V 2.91, 2 Np 2.96-3.10
Te22 0.9368 0.5590 0.1748  1 V 2.91, 2 Np 2.96-3.10
Te23 0.4410 0.0632 0.3252  1 V 2.91, 2 Np 2.96-3.10
Te24 0.8252 0.9410 0.0632  1 V 2.91, 2 Np 2.96-3.10
Te25 0.3778 0.9368 0.7620  1 V 2.91, 2 Np 2.96-3.10
Te26 0.9410 0.8252 0.5632  1 V 2.91, 2 Np 2.96-3.10
Te27 0.5632 0.2380 0.1222  1 V 2.91, 2 Np 2.96-3.10
Te28 0.0590 0.1748 0.4368  1 V 2.91, 2 Np 2.96-3.10
Te29 0.8842 0.0590 0.6222  1 V 2.91, 2 Np 2.96-3.10
Te30 0.7380 0.6158 0.1748  1 V 2.91, 2 Np 2.96-3.10
Te31 0.6222 0.5590 0.8842  1 V 2.91, 2 Np 2.96-3.10
Te32 0.3252 0.5632 0.4410  1 V 2.91, 2 Np 2.96-3.10
Te33 0.5590 0.6222 0.3842  1 V 2.91, 2 Np 2.96-3.10
Te34 0.8842 0.8252 0.7620  1 V 2.91, 2 Np 2.96-3.10
Te35 0.8778 0.2620 0.4368  1 V 2.91, 2 Np 2.96-3.10
Te36 0.0632 0.6222 0.7380  1 V 2.91, 2 Np 2.96-3.10
Te37 0.4410 0.3778 0.6158  1 V 2.91, 2 Np 2.96-3.10
Te38 0.2620 0.8778 0.9368  1 V 2.91, 2 Np 2.96-3.10
Te39 0.0590 0.8842 0.1222  1 V 2.91, 2 Np 2.96-3.10
Te40 0.6748 0.2380 0.6158  1 V 2.91, 2 Np 2.96-3.10
Te41 0.4368 0.7620 0.8778  1 V 2.91, 2 Np 2.96-3.10
Te42 0.5590 0.9368 0.6748  1 V 2.91, 2 Np 2.96-3.10
Te43 0.0632 0.4410 0.8252  1 V 2.91, 2 Np 2.96-3.10
Te44 0.3252 0.7620 0.3842  1 V 2.91, 2 Np 2.96-3.10
Te45 0.7620 0.3252 0.8842  1 V 2.91, 2 Np 2.96-3.10
Te46 0.3842 0.1222 0.5590  1 V 2.91, 2 Np 2.96-3.10
Te47 0.6158 0.7380 0.6748  1 V 2.91, 2 Np 2.96-3.10
Te48 0.1748 0.0590 0.9368  1 V 2.91, 2 Np 2.96-3.10
Np1 0.7500 0.6250 0.3750  4 Te 2.96
Np2 0.2500 0.3750 0.6250  4 Te 2.96
Np3 0.0000 0.5000 0.0000  6 Te 3.10
Np4 0.5000 0.5000 0.0000  6 Te 3.10
Np5 0.6250 0.8750 0.2500  4 Te 2.96
Np6 0.5000 0.0000 0.5000  6 Te 3.10
Np7 0.5000 0.5000 0.5000  6 Te 3.10
Np8 0.2500 0.8750 0.1250  4 Te 2.96
Np9 0.0000 0.5000 0.5000  6 Te 3.10
Np10 0.3750 0.2500 0.1250  4 Te 2.96
Np11 0.3750 0.1250 0.7500  4 Te 2.96
Np12 0.0000 0.0000 0.5000  6 Te 3.10
Np13 0.8750 0.6250 0.7500  4 Te 2.96
Np14 0.8750 0.2500 0.6250  4 Te 2.96
Np15 0.1250 0.3750 0.2500  4 Te 2.96
Np16 0.1250 0.7500 0.3750  4 Te 2.96
Np17 0.5000 0.0000 0.0000  6 Te 3.10
Np18 0.6250 0.7500 0.8750  4 Te 2.96
Np19 0.0000 0.0000 0.0000  6 Te 3.10
Np20 0.7500 0.1250 0.8750  4 Te 2.96
V1 0.3750 0.7500 0.6250  4 Te 2.91
V2 0.6250 0.3750 0.7500  4 Te 2.91
V3 0.2500 0.6250 0.8750  4 Te 2.91
V4 0.1250 0.8750 0.7500  4 Te 2.91
V5 0.8750 0.1250 0.2500  4 Te 2.91
V6 0.7500 0.8750 0.6250  4 Te 2.91
V7 0.7500 0.3750 0.1250  4 Te 2.91
V8 0.3750 0.6250 0.2500  4 Te 2.91
V9 0.1250 0.2500 0.8750  4 Te 2.91
V10 0.2500 0.1250 0.3750  4 Te 2.91
V11 0.8750 0.7500 0.1250  4 Te 2.91
V12 0.6250 0.2500 0.3750  4 Te 2.91